# 1
An optimized crystal structure of Na2ScCuOs, computed with PBE-GGA.

Properties
energy of formation	1.419	eV/atom

```
data_Na2ScCuOs
_chemical_formula_sum 'Na2 Sc1 Cu1 Os1'
_cell_length_a 5.703
_cell_length_b 5.703
_cell_length_c 4.597
_cell_angle_alpha 90.00
_cell_angle_beta 90.00
_cell_angle_gamma 90.00
_symmetry_space_group_name_H-M 'P 4/m m m'
_symmetry_Int_Tables_number 123
_symmetry_space_group_name_Hall '-P 4 2'
loop_
_atom_site_label
_atom_site_fract_x
_atom_site_fract_y
_atom_site_fract_z
Na1 0.000 0.500 0.000
Sc1 0.000 0.000 0.000
Cu1 0.500 0.500 0.500
Os1 0.000 0.000 0.500
```

***

# 2
An optimized crystal structure of NaCuOs2Se, computed with PBE-GGA.

Properties
energy relative to the elements, uncorrected	1.6740	eV per atom

```
data_NaCuOs2Se
_chemical_formula_sum 'Na1 Cu1 Os2 Se1'
_cell_length_a 4.631
_cell_length_b 4.631
_cell_length_c 4.837
_cell_angle_alpha 90.00
_cell_angle_beta 90.00
_cell_angle_gamma 90.00
_symmetry_space_group_name_H-M 'P 4/m m m'
_symmetry_Int_Tables_number 123
_symmetry_space_group_name_Hall '-P 4 2'
loop_
_atom_site_label
_atom_site_fract_x
_atom_site_fract_y
_atom_site_fract_z
Na1 0.000 0.000 0.000
Cu1 0.500 0.500 0.500
Os1 0.000 0.500 0.500
Se1 0.500 0.500 0.000
```

***

# 3
An optimized crystal structure of Na2Cu2P, computed with PBE-GGA.

Properties
energy of formation	-0.024	eV/atom

```
data_Na2Cu2P
_chemical_formula_sum 'Na4 Cu4 P2'
_cell_length_a 6.100
_cell_length_b 6.100
_cell_length_c 4.808
_cell_angle_alpha 90.00
_cell_angle_beta 90.00
_cell_angle_gamma 90.00
_symmetry_space_group_name_H-M 'P 4/m b m'
_symmetry_Int_Tables_number 127
_symmetry_space_group_name_Hall '-P 4 2ab'
loop_
_atom_site_label
_atom_site_fract_x
_atom_site_fract_y
_atom_site_fract_z
Na1 0.179 0.321 0.000
Cu1 0.149 0.649 0.500
P1 0.000 0.000 0.500
```

***

# 4
An optimized crystal structure of Na2CuP, computed with PBE-GGA.

Properties
energy of formation	-0.196	eV/atom

```
data_Na2CuP
_chemical_formula_sum 'Na8 Cu4 P4'
_cell_length_a 10.927
_cell_length_b 10.927
_cell_length_c 4.309
_cell_angle_alpha 90.00
_cell_angle_beta 90.00
_cell_angle_gamma 90.00
_symmetry_space_group_name_H-M 'I -4 2 d'
_symmetry_Int_Tables_number 122
_symmetry_space_group_name_Hall 'I -4 2bw'
loop_
_atom_site_label
_atom_site_fract_x
_atom_site_fract_y
_atom_site_fract_z
Na1 0.001 0.250 0.125
Cu1 0.000 0.000 0.500
P1 0.000 0.000 0.000
```

***

# 5
An optimized crystal structure of NaCu6P4, computed with PBE-GGA.

Properties
energy of formation	-0.006	eV/atom

```
data_NaCu6P4
_chemical_formula_sum 'Na2 Cu12 P8'
_cell_length_a 6.169
_cell_length_b 6.169
_cell_length_c 8.741
_cell_angle_alpha 90.00
_cell_angle_beta 90.00
_cell_angle_gamma 90.00
_symmetry_space_group_name_H-M 'I -4 2 m'
_symmetry_Int_Tables_number 121
_symmetry_space_group_name_Hall 'I -4 2'
loop_
_atom_site_label
_atom_site_fract_x
_atom_site_fract_y
_atom_site_fract_z
Na1 0.000 0.000 0.000
Cu1 0.000 0.500 0.000
Cu2 0.153 0.153 0.368
P1 0.219 0.219 0.638
```

***

# 6
An optimized crystal structure of NaCuP2, computed with PBE-GGA.

Properties
energy of formation	0.002	eV/atom
polymorph energy (0 for the lowest one)	0.000	eV/atom

```
data_NaCuP2
_chemical_formula_sum 'Na4 Cu4 P8'
_cell_length_a 4.414
_cell_length_b 4.414
_cell_length_c 15.684
_cell_angle_alpha 90.00
_cell_angle_beta 90.00
_cell_angle_gamma 90.00
_symmetry_space_group_name_H-M 'I -4 2 d'
_symmetry_Int_Tables_number 122
_symmetry_space_group_name_Hall 'I -4 2bw'
loop_
_atom_site_label
_atom_site_fract_x
_atom_site_fract_y
_atom_site_fract_z
Na1 0.000 0.000 0.000
Cu1 0.000 0.000 0.500
P1 0.117 0.250 0.625
```

***

# 7
An optimized crystal structure of Na2Cu3P2, computed with PBE-GGA.

Properties
energy of formation	-0.154	eV/atom

```
data_Na2Cu3P2
_chemical_formula_sum 'Na4 Cu6 P4'
_cell_length_a 10.454
_cell_length_b 3.887
_cell_length_c 6.938
_cell_angle_alpha 90.00
_cell_angle_beta 118.55
_cell_angle_gamma 90.00
_symmetry_space_group_name_H-M 'C 1 2/m 1'
_symmetry_Int_Tables_number 12
_symmetry_space_group_name_Hall '-C 2y'
loop_
_atom_site_label
_atom_site_fract_x
_atom_site_fract_y
_atom_site_fract_z
Na1 0.129 0.000 0.272
Cu1 0.000 0.500 0.500
Cu2 0.165 0.500 0.915
P1 0.148 0.000 0.718
```

***

# 8
An optimized crystal structure of Na5CuP2, computed with PBE-GGA.

Properties
energy of formation	-0.342	eV/atom

```
data_Na5CuP2
_chemical_formula_sum 'Na10 Cu2 P4'
_cell_length_a 4.9913
_cell_length_b 4.9913
_cell_length_c 16.8708
_cell_angle_alpha 90.00
_cell_angle_beta 90.00
_cell_angle_gamma 120.00
_symmetry_space_group_name_H-M 'P 63/m m c'
_symmetry_Int_Tables_number 194
_symmetry_space_group_name_Hall '-P 6c 2c'
loop_
_atom_site_label
_atom_site_fract_x
_atom_site_fract_y
_atom_site_fract_z
Na1 0.0000 0.0000 0.1394
Na2 0.3333 0.6667 0.0512
Na3 0.3333 0.6667 0.2500
Cu1 0.3333 0.6667 0.7500
P1 0.3333 0.6667 0.6197
```

***

# 9
An optimized crystal structure of Na2CuP6, computed with PBE-GGA.

Properties
energy of formation	-0.087	eV/atom

```
data_Na2CuP6
_chemical_formula_sum 'Na8 Cu4 P24'
_cell_length_a 12.756
_cell_length_b 10.076
_cell_length_c 6.400
_cell_angle_alpha 90.00
_cell_angle_beta 118.95
_cell_angle_gamma 90.00
_symmetry_space_group_name_H-M 'C 1 2/c 1'
_symmetry_Int_Tables_number 15
_symmetry_space_group_name_Hall '-C 2yc'
loop_
_atom_site_label
_atom_site_fract_x
_atom_site_fract_y
_atom_site_fract_z
Na1 0.202 0.087 0.384
Cu1 0.000 0.495 0.750
P1 0.067 0.189 0.601
P2 0.074 0.334 0.098
P3 0.177 0.325 0.886
```

***

# 10
An optimized crystal structure of NaCu2P, computed with PBE-GGA.

Properties
energy of formation	-0.119	eV/atom

```
data_NaCu2P
_chemical_formula_sum 'Na3 Cu6 P3'
_cell_length_a 4.0770
_cell_length_b 4.0770
_cell_length_c 15.1592
_cell_angle_alpha 90.00
_cell_angle_beta 90.00
_cell_angle_gamma 120.00
_symmetry_space_group_name_H-M 'R -3 m'
_symmetry_Int_Tables_number 166
_symmetry_space_group_name_Hall '-R 3 2"'
loop_
_atom_site_label
_atom_site_fract_x
_atom_site_fract_y
_atom_site_fract_z
Na1 0.0000 0.0000 0.0000
Cu1 0.0000 0.0000 0.1882
P1 0.0000 0.0000 0.5000
```

***

# 11
An optimized crystal structure of NaCuP2, computed with PBE-GGA.

Properties
energy of formation	0.284	eV/atom
polymorph energy (0 for the lowest one)	0.282	eV/atom

```
data_NaCuP2
_chemical_formula_sum 'Na1 Cu1 P2'
_cell_length_a 3.951
_cell_length_b 3.951
_cell_length_c 6.294
_cell_angle_alpha 90.00
_cell_angle_beta 90.00
_cell_angle_gamma 90.00
_symmetry_space_group_name_H-M 'P 4/m m m'
_symmetry_Int_Tables_number 123
_symmetry_space_group_name_Hall '-P 4 2'
loop_
_atom_site_label
_atom_site_fract_x
_atom_site_fract_y
_atom_site_fract_z
Na1 0.000 0.000 0.000
Cu1 0.500 0.500 0.500
P1 0.500 0.500 0.161
```

***

# 12
An optimized crystal structure of NaCuP2, computed with PBE-GGA.

Properties
energy of formation	0.349	eV/atom
polymorph energy (0 for the lowest one)	0.347	eV/atom

```
data_NaCuP2
_chemical_formula_sum 'Na4 Cu4 P8'
_cell_length_a 6.320
_cell_length_b 6.320
_cell_length_c 6.320
_cell_angle_alpha 90.00
_cell_angle_beta 90.00
_cell_angle_gamma 90.00
_symmetry_space_group_name_H-M 'F m -3 m'
_symmetry_Int_Tables_number 225
_symmetry_space_group_name_Hall '-F 4 2 3'
loop_
_atom_site_label
_atom_site_fract_x
_atom_site_fract_y
_atom_site_fract_z
Na1 0.000 0.000 0.000
Cu1 0.000 0.000 0.500
P1 0.250 0.250 0.250
```

***

# 13
An optimized crystal structure of NaCu4P2, computed with PBE-GGA.

Properties
energy of formation	-0.186	eV/atom

```
data_NaCu4P2
_chemical_formula_sum 'Na2 Cu8 P4'
_cell_length_a 7.383
_cell_length_b 7.383
_cell_length_c 3.645
_cell_angle_alpha 90.00
_cell_angle_beta 90.00
_cell_angle_gamma 90.00
_symmetry_space_group_name_H-M 'P 42/m n m'
_symmetry_Int_Tables_number 136
_symmetry_space_group_name_Hall '-P 4n 2n'
loop_
_atom_site_label
_atom_site_fract_x
_atom_site_fract_y
_atom_site_fract_z
Na1 0.000 0.000 0.000
Cu1 0.075 0.325 0.500
P1 0.226 0.774 0.500
```

***

# 14
An optimized crystal structure of NaCu2P, computed with PBE-GGA.

Properties
energy of formation	-0.100	eV/atom

```
data_NaCu2P
_chemical_formula_sum 'Na4 Cu8 P4'
_cell_length_a 4.917
_cell_length_b 4.917
_cell_length_c 14.543
_cell_angle_alpha 90.00
_cell_angle_beta 90.00
_cell_angle_gamma 90.00
_symmetry_space_group_name_H-M 'I 41/a m d'
_symmetry_Int_Tables_number 141
loop_
_symmetry_equiv_pos_as_xyz
'x,y,z'
'-x,-y,-z'
'-y+1/4,x+3/4,z+1/4'
'y+1/4,-x+3/4,-z+1/4'
'-x+1/2,-y,z+1/2'
'x+1/2,y,-z+1/2'
'y+1/4,-x+1/4,z+3/4'
'-y+1/4,x+1/4,-z+3/4'
'x,-y,-z'
'-x,y,z'
'-y+1/4,-x+1/4,-z+3/4'
'y+1/4,x+1/4,z+3/4'
'-x+1/2,y,-z+1/2'
'x+1/2,-y,z+1/2'
'y+1/4,x+3/4,-z+1/4'
'-y+1/4,-x+3/4,z+1/4'
'x+1/2,y+1/2,z+1/2'
'-x+1/2,-y+1/2,-z+1/2'
'-y+3/4,x+1/4,z+3/4'
'y+3/4,-x+1/4,-z+3/4'
'-x,-y+1/2,z'
'x,y+1/2,-z'
'y+3/4,-x+3/4,z+1/4'
'-y+3/4,x+3/4,-z+1/4'
'x+1/2,-y+1/2,-z+1/2'
'-x+1/2,y+1/2,z+1/2'
'-y+3/4,-x+3/4,-z+1/4'
'y+3/4,x+3/4,z+1/4'
'-x,y+1/2,-z'
'x,-y+1/2,z'
'y+3/4,x+1/4,-z+3/4'
'-y+3/4,-x+1/4,z+3/4'
loop_
_atom_site_label
_atom_site_fract_x
_atom_site_fract_y
_atom_site_fract_z
Na1 0.000 0.250 0.375
Cu1 0.000 0.000 0.000
P1 0.000 0.250 0.875
```

***

# 15
An optimized crystal structure of NaCu3P2, computed with PBE-GGA.

Properties
energy of formation	-0.224	eV/atom

```
data_NaCu3P2
_chemical_formula_sum 'Na4 Cu12 P8'
_cell_length_a 14.548
_cell_length_b 3.862
_cell_length_c 7.044
_cell_angle_alpha 90.00
_cell_angle_beta 112.19
_cell_angle_gamma 90.00
_symmetry_space_group_name_H-M 'C 1 2/m 1'
_symmetry_Int_Tables_number 12
_symmetry_space_group_name_Hall '-C 2y'
loop_
_atom_site_label
_atom_site_fract_x
_atom_site_fract_y
_atom_site_fract_z
Na1 0.160 0.000 0.068
Cu1 0.044 0.000 0.362
Cu2 0.094 0.500 0.682
Cu3 0.184 0.500 0.436
P1 0.022 0.500 0.167
P2 0.183 0.000 0.671
```

***

# 16
An optimized crystal structure of NaCu3P, computed with PBE-GGA.

Properties
energy of formation	0.064	eV/atom

```
data_NaCu3P
_chemical_formula_sum 'Na1 Cu3 P1'
_cell_length_a 4.400
_cell_length_b 4.400
_cell_length_c 4.400
_cell_angle_alpha 90.00
_cell_angle_beta 90.00
_cell_angle_gamma 90.00
_symmetry_space_group_name_H-M 'P m -3 m'
_symmetry_Int_Tables_number 221
_symmetry_space_group_name_Hall '-P 4 2 3'
loop_
_atom_site_label
_atom_site_fract_x
_atom_site_fract_y
_atom_site_fract_z
Na1 0.000 0.000 0.000
Cu1 0.000 0.500 0.500
P1 0.500 0.500 0.500
```

***

# 17
An optimized crystal structure of NaCu2P, computed with PBE-GGA.

Properties
energy of formation	-0.007	eV/atom

```
data_NaCu2P
_chemical_formula_sum 'Na2 Cu4 P2'
_cell_length_a 3.839
_cell_length_b 3.839
_cell_length_c 8.876
_cell_angle_alpha 90.00
_cell_angle_beta 90.00
_cell_angle_gamma 90.00
_symmetry_space_group_name_H-M 'P 4/n m m'
_symmetry_Int_Tables_number 129
loop_
_symmetry_equiv_pos_as_xyz
'x,y,z'
'-x,-y,-z'
'-y+1/2,x,z'
'y+1/2,-x,-z'
'-x+1/2,-y+1/2,z'
'x+1/2,y+1/2,-z'
'y,-x+1/2,z'
'-y,x+1/2,-z'
'x+1/2,-y,-z'
'-x+1/2,y,z'
'-y,-x,-z'
'y,x,z'
'-x,y+1/2,-z'
'x,-y+1/2,z'
'y+1/2,x+1/2,-z'
'-y+1/2,-x+1/2,z'
loop_
_atom_site_label
_atom_site_fract_x
_atom_site_fract_y
_atom_site_fract_z
Na1 0.250 0.250 0.233
Cu1 0.250 0.250 0.916
Cu2 0.250 0.750 0.500
P1 0.250 0.250 0.657
```

***

# 18
An optimized crystal structure of NaCu5P2, computed with PBE-GGA.

Properties
energy of formation	-0.143	eV/atom

```
data_NaCu5P2
_chemical_formula_sum 'Na2 Cu10 P4'
_cell_length_a 3.879
_cell_length_b 6.779
_cell_length_c 8.823
_cell_angle_alpha 90.00
_cell_angle_beta 90.00
_cell_angle_gamma 90.00
_symmetry_space_group_name_H-M 'I m m m'
_symmetry_Int_Tables_number 71
_symmetry_space_group_name_Hall '-I 2 2'
loop_
_atom_site_label
_atom_site_fract_x
_atom_site_fract_y
_atom_site_fract_z
Na1 0.000 0.000 0.000
Cu1 0.000 0.181 0.342
Cu2 0.000 0.500 0.000
P1 0.000 0.500 0.257
```

***

# 19
An optimized crystal structure of NaCuPPd2, computed with PBE-GGA.

Properties
energy of formation	-0.244	eV/atom

```
data_NaCuPPd2
_chemical_formula_sum 'Na1 Cu1 P1 Pd2'
_cell_length_a 4.597
_cell_length_b 4.597
_cell_length_c 4.372
_cell_angle_alpha 90.00
_cell_angle_beta 90.00
_cell_angle_gamma 90.00
_symmetry_space_group_name_H-M 'P 4/m m m'
_symmetry_Int_Tables_number 123
_symmetry_space_group_name_Hall '-P 4 2'
loop_
_atom_site_label
_atom_site_fract_x
_atom_site_fract_y
_atom_site_fract_z
Na1 0.000 0.000 0.000
Cu1 0.500 0.500 0.000
P1 0.500 0.500 0.500
Pd1 0.000 0.500 0.500
```

***

# 20
An optimized crystal structure of NaCu2PPd, computed with PBE-GGA.

Properties
energy of formation	-0.153	eV/atom

```
data_NaCu2PPd
_chemical_formula_sum 'Na1 Cu2 P1 Pd1'
_cell_length_a 4.391
_cell_length_b 4.391
_cell_length_c 4.658
_cell_angle_alpha 90.00
_cell_angle_beta 90.00
_cell_angle_gamma 90.00
_symmetry_space_group_name_H-M 'P 4/m m m'
_symmetry_Int_Tables_number 123
_symmetry_space_group_name_Hall '-P 4 2'
loop_
_atom_site_label
_atom_site_fract_x
_atom_site_fract_y
_atom_site_fract_z
Na1 0.000 0.000 0.000
Cu1 0.000 0.500 0.500
P1 0.500 0.500 0.500
Pd1 0.500 0.500 0.000
```